DFT (GGA-PBEsol) results for crystalline Cr3B4 at its relaxed geometry.

Unit cell a=6.7784 b=6.7784 c=6.7784 alpha=155.48 beta=155.14 gamma=35.21
Closest atoms and distances in Å follow each position.
Positions (direct):
Cr (0.0000, 0.0000, 0.0000)  12 B 2.22-2.32
Cr (0.3138, 0.8138, 0.5000)  7 B 2.11-2.24
Cr (0.6862, 0.1862, 0.5000)  7 B 2.11-2.24
B (0.1405, 0.6405, 0.5000)  2 B 1.74
B (0.4335, 0.4335, 0.0000)  3 B 1.72-1.74
B (0.5665, 0.5665, 0.0000)  3 B 1.72-1.74
B (0.8595, 0.3595, 0.5000)  2 B 1.74

Summary:
- Total moment: 0.003 μB/f.u.
- Calculated total energy: -8.925 eV/atom
- Energy of formation from the pure elements: -3.69 eV/f.u.


DFT (GGA-PBEsol) results for crystalline KCrCuB2 at its relaxed geometry.

Unit cell a=3.9645 b=3.9645 c=5.0444 alpha=90.00 beta=90.00 gamma=90.00
Closest atoms and distances in Å follow each position.
Positions (direct):
K (0.0000, 0.0000, 0.0000)  2 Cu 2.52, 4 Cr 2.80
Cr (0.5000, 0.5000, 0.0000)  4 K 2.80
Cu (0.0000, 0.0000, 0.5000)  4 B 1.98
B (0.0000, 0.5000, 0.5000)  2 Cu 1.98
B (0.5000, 0.0000, 0.5000)  2 Cu 1.98

Summary:
- Total moment: 4.413 μB/f.u.
- Calculated total energy: -4.253 eV/atom
- Energy of formation from the pure elements: 8.48 eV/f.u.


DFT (GGA-PBEsol) results for crystalline Er3CrB7 at its relaxed geometry.

Unit cell a=7.9509 b=7.9509 c=9.2176 alpha=90.00 beta=90.00 gamma=155.51
Closest atoms and distances in Å follow each position.
Positions (direct):
Er (0.1052, 0.8948, 0.5595)  11 B 2.57-2.67
Er (0.1052, 0.8948, 0.9405)  11 B 2.57-2.67
Er (0.2416, 0.7584, 0.2500)  10 B 2.57-2.64
Er (0.7584, 0.2416, 0.7500)  10 B 2.57-2.64
Er (0.8948, 0.1052, 0.0595)  11 B 2.57-2.67
Er (0.8948, 0.1052, 0.4405)  11 B 2.57-2.67
Cr (0.0526, 0.9474, 0.2500)  10 B 2.25-2.27
Cr (0.9474, 0.0526, 0.7500)  10 B 2.25-2.27
B (0.2727, 0.7273, 0.5318)  3 B 1.86-1.92
B (0.2727, 0.7273, 0.9682)  3 B 1.86-1.92
B (0.3689, 0.6311, 0.6512)  3 B 1.79-1.86
B (0.3689, 0.6311, 0.8488)  3 B 1.79-1.86
B (0.4572, 0.5428, 0.2500)  2 B 1.73
B (0.4794, 0.5206, 0.5956)  3 B 1.73-1.88
B (0.4794, 0.5206, 0.9044)  3 B 1.73-1.88
B (0.5206, 0.4794, 0.0956)  3 B 1.73-1.88
B (0.5206, 0.4794, 0.4044)  3 B 1.73-1.88
B (0.5428, 0.4572, 0.7500)  2 B 1.73
B (0.6311, 0.3689, 0.1512)  3 B 1.79-1.86
B (0.6311, 0.3689, 0.3488)  3 B 1.79-1.86
B (0.7273, 0.2727, 0.0318)  3 B 1.86-1.92
B (0.7273, 0.2727, 0.4682)  3 B 1.86-1.92

Summary:
- Total moment: 0.755 μB/f.u.
- Calculated total energy: -7.445 eV/atom
- Energy of formation from the pure elements: -7.76 eV/f.u.


total moment of number 2 (KCrCuB2)? 4.413 μB/f.u.